Record 1
This record from Alexandria via LeMat-Bulk describes an optimized crystal structure of BaLa3Ir. The functional is PBE.

Properties
Energy above the most stable polymorph in this dataset, meV/atom: 21
Calculated formation energy, eV per atom: -0.298
DOS(E_F), states/eV per cell: 13.365

abc: 8.280 7.125 9.243
angles: 58.49 77.00 106.66
Positions (direct):
Ir1 0.178 0.918 0.068
Ir2 0.918 0.662 0.808
La1 0.535 0.312 0.953
La2 0.814 0.554 0.165
La3 0.260 0.523 0.219
La4 0.273 0.027 0.703
La5 0.080 0.323 0.922
La6 0.069 0.816 0.435
Ba1 0.588 0.806 0.409
Ba2 0.760 0.060 0.713

=====

Record 2
This record from Alexandria via LeMat-Bulk describes an optimized crystal structure of Al2Zn3Ga. The functional is PBE.

Properties
Energy above the most stable polymorph in this dataset, meV/atom: 15
Calculated formation energy, eV per atom: 0.041
DOS(E_F), states/eV per cell: 3.070

abc: 4.126 5.563 8.462
angles: 90.20 90.00 90.00
Positions (direct):
Ga1 0.250 0.879 0.749
Ga2 0.750 0.121 0.251
Zn1 0.250 0.870 0.417
Zn2 0.750 0.621 0.250
Zn3 0.750 0.622 0.922
Zn4 0.250 0.379 0.750
Zn5 0.250 0.378 0.078
Zn6 0.750 0.130 0.583
Al1 0.250 0.374 0.415
Al2 0.250 0.872 0.086
Al3 0.750 0.626 0.585
Al4 0.750 0.128 0.914

=====

Record 3
This record from Alexandria via LeMat-Bulk describes an optimized crystal structure of Th7In2Sb2. The functional is PBE.

Properties
Formation energy without anion corrections, eV/atom: -0.020
DOS(E_F), states/eV per cell: 15.289

abc: 7.099 7.637 7.099
angles: 90.00 107.52 90.00
Positions (direct):
Th1 0.500 0.737 0.500
Th2 0.500 0.292 0.000
Th3 0.000 0.708 0.500
Th4 0.500 0.708 0.000
Th5 0.500 0.263 0.500
Th6 0.000 0.000 0.000
Th7 0.000 0.292 0.500
In1 0.169 0.500 0.169
In2 0.831 0.500 0.831
Sb1 0.720 0.000 0.280
Sb2 0.280 0.000 0.720

=====

Record 4
This record from Alexandria via LeMat-Bulk describes an optimized crystal structure of TaHRu2Au. The functional is PBE.

Properties
Calculated total energy, eV per atom: -7.470
DOS(E_F), states/eV per cell: 3.302

abc: 4.025 4.025 3.976
angles: 90.00 90.00 90.00
Positions (direct):
Au1 0.500 0.500 0.500
H1 0.000 0.000 0.000
Ru1 0.000 0.500 0.000
Ru2 0.500 0.000 0.000
Ta1 0.000 0.000 0.500

=====

Record 5
This record from Alexandria via LeMat-Bulk describes an optimized crystal structure of PaZnSe2. The functional is PBE.

Properties
Formation energy without anion corrections, eV/atom: -0.741
DOS(E_F), states/eV per cell: 5.173

abc: 4.135 4.135 10.317
angles: 78.44 78.44 60.00
Positions (direct):
Se1 0.114 0.114 0.657
Se2 0.886 0.886 0.343
Zn1 0.000 0.000 0.000
Pa1 0.500 0.500 0.500

=====

Record 6
This record from Alexandria via LeMat-Bulk describes an optimized crystal structure of Ac2BeNiPd6. The functional is PBE.

Properties
Calculated formation energy, eV per atom: -0.585
DOS(E_F), states/eV per cell: 3.498

abc: 6.021 7.113 7.107
angles: 50.26 64.76 89.94
Positions (direct):
Be1 0.500 0.500 0.000
Pd1 0.741 0.261 0.051
Pd2 0.260 0.207 0.480
Pd3 0.259 0.739 0.949
Pd4 0.740 0.793 0.520
Pd5 0.789 0.739 0.951
Pd6 0.211 0.261 0.049
Ac1 0.274 0.728 0.453
Ac2 0.726 0.272 0.547
Ni1 0.000 0.000 0.000

=====

Record 7
This record from Alexandria via LeMat-Bulk describes an optimized crystal structure of La12HoCo7. The functional is PBE.

Properties
Calculated formation energy, eV per atom: -0.098
DOS(E_F), states/eV per cell: 17.197

abc: 8.887 8.887 8.887
angles: 107.38 107.38 107.38
Positions (direct):
La1 0.845 0.627 0.552
La2 0.316 0.779 0.924
La3 0.448 0.155 0.373
La4 0.155 0.373 0.448
La5 0.552 0.845 0.627
La6 0.924 0.316 0.779
La7 0.221 0.076 0.684
La8 0.684 0.221 0.076
La9 0.076 0.684 0.221
La10 0.373 0.448 0.155
La11 0.779 0.924 0.316
La12 0.627 0.552 0.845
Ho1 0.000 0.000 0.000
Co1 0.500 0.500 0.500
Co2 0.353 0.123 0.021
Co3 0.123 0.021 0.353
Co4 0.877 0.979 0.647
Co5 0.647 0.877 0.979
Co6 0.979 0.647 0.877
Co7 0.021 0.353 0.123

=====

Record 8
This record from Alexandria via LeMat-Bulk describes an optimized crystal structure of AuSeBr2. The functional is PBE.

Properties
Energy above the most stable polymorph in this dataset, meV/atom: 0
Formation energy without anion corrections, eV/atom: -0.045
DOS(E_F), states/eV per cell: 1.332

abc: 3.817 7.936 5.247
angles: 88.12 68.57 76.86
Positions (direct):
Se1 0.756 0.077 0.406
Br1 0.014 0.802 0.154
Br2 0.418 0.406 0.773
Au1 0.312 0.214 0.167